Entry 1:
# Ce6Si3Pt

A geometry-optimized Ce6Si3Pt structure (GGA-PBE, Alexandria via LeMat-Bulk).

* DOS at the Fermi energy: 55.55 states/eV/cell
* energy relative to the elements, uncorrected: -4.322 eV per formula unit

a = 7.158 Å, b = 8.055 Å, c = 11.685 Å
α = 90.00°, β = 127.71°, γ = 90.00°
Positions (direct):
Ce  0.040  0.093  0.249
Ce  0.040  0.407  0.749
Ce  0.225  0.677  0.066
Ce  0.225  0.823  0.566
Ce  0.410  0.182  0.072
Ce  0.410  0.318  0.572
Ce  0.590  0.682  0.428
Ce  0.590  0.818  0.928
Ce  0.775  0.177  0.434
Ce  0.775  0.323  0.934
Ce  0.960  0.593  0.251
Ce  0.960  0.907  0.751
Si  0.000  0.000  0.000
Si  0.000  0.500  0.500
Si  0.301  0.119  0.756
Si  0.301  0.381  0.256
Si  0.699  0.619  0.744
Si  0.699  0.881  0.244
Pt  0.500  0.000  0.500
Pt  0.500  0.500  0.000

***

Entry 2:
# Ce2Si3Pt2

A geometry-optimized Ce2Si3Pt2 structure (GGA-PBE, Alexandria via LeMat-Bulk).

* DOS at the Fermi energy: 7.22 states/eV/cell
* energy relative to the elements, uncorrected: -5.946 eV per formula unit

a = 5.475 Å, b = 5.475 Å, c = 6.565 Å
α = 107.78°, β = 107.78°, γ = 45.26°
Positions (direct):
Ce  0.156  0.156  0.292
Ce  0.844  0.844  0.708
Si  0.400  0.400  0.061
Si  0.500  0.500  0.500
Si  0.600  0.600  0.939
Pt  0.144  0.144  0.773
Pt  0.856  0.856  0.227

***

Entry 3:
# Ce3SiPt

A geometry-optimized Ce3SiPt structure (GGA-PBE, Alexandria via LeMat-Bulk).

* DOS at the Fermi energy: 20.74 states/eV/cell
* energy relative to the elements, uncorrected: -2.504 eV per formula unit

a = 7.778 Å, b = 7.778 Å, c = 7.778 Å
α = 48.37°, β = 48.37°, γ = 48.37°
Positions (direct):
Ce  0.260  0.260  0.714
Ce  0.260  0.714  0.260
Ce  0.286  0.740  0.740
Ce  0.714  0.260  0.260
Ce  0.740  0.286  0.740
Ce  0.740  0.740  0.286
Si  0.292  0.292  0.292
Si  0.708  0.708  0.708
Pt  0.177  0.177  0.177
Pt  0.823  0.823  0.823

***

Entry 4:
# Ce3Si5Pt2

A geometry-optimized Ce3Si5Pt2 structure (GGA-PBE, Alexandria via LeMat-Bulk).

* DOS at the Fermi energy: 33.64 states/eV/cell
* energy relative to the elements, uncorrected: -5.964 eV per formula unit

a = 8.828 Å, b = 8.828 Å, c = 8.828 Å
α = 112.05°, β = 82.16°, γ = 139.55°
Positions (direct):
Ce  0.129  0.711  0.840
Ce  0.250  0.250  0.000
Ce  0.371  0.211  0.582
Ce  0.629  0.789  0.418
Ce  0.750  0.750  0.000
Ce  0.871  0.289  0.160
Si  0.016  0.250  0.766
Si  0.131  0.398  0.530
Si  0.250  0.750  0.500
Si  0.369  0.898  0.267
Si  0.484  0.250  0.234
Si  0.516  0.750  0.766
Si  0.631  0.102  0.733
Si  0.750  0.250  0.500
Si  0.869  0.602  0.470
Si  0.984  0.750  0.234
Pt  0.143  0.157  0.301
Pt  0.357  0.657  0.014
Pt  0.643  0.343  0.986
Pt  0.857  0.843  0.699

***

Entry 5:
# CeSmSi2Pt2

A geometry-optimized CeSmSi2Pt2 structure (GGA-PBE, Alexandria via LeMat-Bulk).

* DOS at the Fermi energy: 5.94 states/eV/cell
* energy relative to the elements, uncorrected: -6.716 eV per formula unit

a = 4.225 Å, b = 4.225 Å, c = 8.082 Å
α = 90.00°, β = 90.00°, γ = 120.00°
Positions (direct):
Ce  0.000  0.000  0.000
Sm  0.000  0.000  0.500
Si  0.333  0.667  0.244
Si  0.667  0.333  0.756
Pt  0.333  0.667  0.748
Pt  0.667  0.333  0.252

***

Entry 6:
# Ce2SmSi2Pt7

A geometry-optimized Ce2SmSi2Pt7 structure (GGA-PBE, Alexandria via LeMat-Bulk).

* DOS at the Fermi energy: 15.76 states/eV/cell
* energy relative to the elements, uncorrected: -12.639 eV per formula unit

a = 4.108 Å, b = 4.108 Å, c = 13.896 Å
α = 95.76°, β = 95.76°, γ = 89.00°
Positions (direct):
Ce  0.110  0.110  0.357
Ce  0.890  0.890  0.643
Sm  0.000  0.000  0.000
Si  0.412  0.412  0.747
Si  0.588  0.588  0.253
Pt  0.057  0.556  0.162
Pt  0.380  0.380  0.575
Pt  0.444  0.943  0.838
Pt  0.500  0.500  0.000
Pt  0.556  0.057  0.162
Pt  0.620  0.620  0.425
Pt  0.943  0.444  0.838